[1]
4
Lattice="4.332 0.000 0.000 2.166 3.752 0.000 2.166 1.251 3.537" Properties=species:S:1:pos:R:3 comment="ScTiMnNi PBE optimized geometry" m_tot_mub_per_fu=0.0 e_form_mev_per_atom=-214 pbc="T T T"
Mn 6.498 3.752 2.653
Ti 4.332 2.501 1.768
Sc 0.000 0.000 0.000
Ni 2.166 1.251 0.884


[2]
11
Lattice="5.923 0.000 0.000 2.962 5.130 0.000 2.962 1.710 6.286" Properties=species:S:1:pos:R:3 comment="Ba2CeAl2O6 PBE optimized geometry" energy_ev_per_atom=-6.9804 m_tot_mub_per_fu=2.0 pbc="T T T"
O 7.406 2.563 4.625
Al 5.923 3.420 1.342
Ba 8.885 5.130 3.864
O 4.440 2.563 4.625
O 5.923 1.707 1.661
O 5.923 5.132 4.625
Ce 0.000 0.000 0.000
O 4.440 4.276 1.661
Ba 2.962 1.710 2.422
Al 5.923 3.420 4.944
O 7.406 4.276 1.661


[3]
4
Lattice="6.773 -0.008 -0.004 6.085 2.973 -0.004 6.085 1.404 2.621" Properties=species:S:1:pos:R:3 comment="Be2CoBr PBE optimized geometry" energy_ev_per_atom=-3.5428 m_tot_mub_per_fu=0.7 pbc="T T T"
Be 0.198 0.046 0.027
Co 14.207 3.277 1.959
Br 4.736 1.092 0.653
Be 9.273 2.139 1.279


[4]
28
Lattice="3.927 0.000 0.000 0.000 8.852 0.000 0.000 0.000 12.242" Properties=species:S:1:pos:R:3 comment="Tm3Be5Pt6 PBE optimized geometry" m_tot_mub_per_fu=0.0 e_form_mev_per_atom=-893 pbc="T T T"
Be 0.000 7.723 8.011
Be 1.963 4.074 4.682
Be 1.963 1.129 1.890
Pt 0.000 5.316 3.913
Pt 1.963 3.536 2.208
Be 1.963 1.737 6.121
Be 0.000 4.778 1.439
Pt 1.963 0.111 8.117
Pt 1.963 0.111 4.125
Tm 0.000 2.277 0.000
Pt 0.000 8.741 1.996
Pt 0.000 5.316 8.329
Be 1.963 1.129 10.352
Tm 0.000 2.202 8.554
Pt 0.000 8.741 10.246
Pt 0.000 0.286 6.121
Be 0.000 7.723 4.231
Be 1.963 4.074 7.560
Tm 1.963 6.575 6.121
Tm 0.000 2.202 3.689
Be 0.000 4.778 10.803
Pt 0.000 3.562 6.121
Pt 1.963 3.536 10.034
Tm 1.963 6.650 2.433
Pt 1.963 8.567 0.000
Pt 1.963 5.291 0.000
Tm 1.963 6.650 9.810
Be 0.000 7.115 0.000


Please write out number 4 again, unchanged.
28
Lattice="3.927 0.000 0.000 0.000 8.852 0.000 0.000 0.000 12.242" Properties=species:S:1:pos:R:3 comment="Tm3Be5Pt6 PBE optimized geometry" m_tot_mub_per_fu=0.0 e_form_mev_per_atom=-893 pbc="T T T"
Be 0.000 7.723 8.011
Be 1.963 4.074 4.682
Be 1.963 1.129 1.890
Pt 0.000 5.316 3.913
Pt 1.963 3.536 2.208
Be 1.963 1.737 6.121
Be 0.000 4.778 1.439
Pt 1.963 0.111 8.117
Pt 1.963 0.111 4.125
Tm 0.000 2.277 0.000
Pt 0.000 8.741 1.996
Pt 0.000 5.316 8.329
Be 1.963 1.129 10.352
Tm 0.000 2.202 8.554
Pt 0.000 8.741 10.246
Pt 0.000 0.286 6.121
Be 0.000 7.723 4.231
Be 1.963 4.074 7.560
Tm 1.963 6.575 6.121
Tm 0.000 2.202 3.689
Be 0.000 4.778 10.803
Pt 0.000 3.562 6.121
Pt 1.963 3.536 10.034
Tm 1.963 6.650 2.433
Pt 1.963 8.567 0.000
Pt 1.963 5.291 0.000
Tm 1.963 6.650 9.810
Be 0.000 7.115 0.000


Copy entry 3 word for word.
4
Lattice="6.773 -0.008 -0.004 6.085 2.973 -0.004 6.085 1.404 2.621" Properties=species:S:1:pos:R:3 comment="Be2CoBr PBE optimized geometry" energy_ev_per_atom=-3.5428 m_tot_mub_per_fu=0.7 pbc="T T T"
Be 0.198 0.046 0.027
Co 14.207 3.277 1.959
Br 4.736 1.092 0.653
Be 9.273 2.139 1.279